Record 1
Density functional theory data (PBE) for Co7Re5 after structural relaxation.

Electronic total energy = -0.324 hartree per atom
Calculated formation energy = 511 meV per atom
Size of the total moment = 2.6 μB per formula unit
SG = P6_3/mmc

Cell: 4.9175 4.9175 15.4875 Å, 90.00 90.00 120.00°
With the nearest neighbours (Å) after each atom.
Atoms (fractional coordinates):
Co 0.0000 0.0000 0.0820  1 Co 2.54, 6 Re 2.77
Co 0.6667 0.3333 0.1476  6 Re 2.69-2.84, 6 Co 2.93
Co 0.1504 0.3008 0.2500  2 Co 2.22, 2 Re 2.30
Co 0.1504 0.8496 0.2500  2 Co 2.22, 2 Re 2.30
Co 0.6992 0.8496 0.2500  2 Co 2.22, 2 Re 2.30
Co 0.6667 0.3333 0.3524  6 Re 2.69-2.84, 6 Co 2.93
Co 0.0000 0.0000 0.4180  1 Co 2.54, 6 Re 2.77
Co 0.0000 0.0000 0.5820  1 Co 2.54, 6 Re 2.77
Co 0.3333 0.6667 0.6476  6 Re 2.69-2.84, 6 Co 2.93
Co 0.3008 0.1504 0.7500  2 Co 2.22, 2 Re 2.30
Co 0.8496 0.1504 0.7500  2 Co 2.22, 2 Re 2.30
Co 0.8496 0.6992 0.7500  2 Co 2.22, 2 Re 2.30
Co 0.3333 0.6667 0.8524  6 Re 2.69-2.84, 6 Co 2.93
Co 0.0000 0.0000 0.9180  1 Co 2.54, 6 Re 2.77
Re 0.5000 0.0000 0.0000  6 Re 2.46-2.60, 2 Co 2.69
Re 0.0000 0.5000 0.0000  6 Re 2.46-2.60, 2 Co 2.69
Re 0.5000 0.5000 0.0000  6 Re 2.46-2.60, 2 Co 2.69
Re 0.3333 0.6667 0.1405  3 Co 2.30
Re 0.3333 0.6667 0.3595  3 Co 2.30
Re 0.5000 0.0000 0.5000  6 Re 2.46-2.60, 2 Co 2.69
Re 0.0000 0.5000 0.5000  6 Re 2.46-2.60, 2 Co 2.69
Re 0.5000 0.5000 0.5000  6 Re 2.46-2.60, 2 Co 2.69
Re 0.6667 0.3333 0.6405  3 Co 2.30
Re 0.6667 0.3333 0.8595  3 Co 2.30

=====

Record 2
Density functional theory data (PBE) for Gd3Mg3Hg2Pd after structural relaxation.

Electronic total energy = -0.117 hartree per atom
Size of the total moment = 0.4 μB per formula unit
SG = P-62m

Cell: 7.7567 7.7567 4.1776 Å, 90.00 90.00 120.00°
With the nearest neighbours (Å) after each atom.
Atoms (fractional coordinates):
Gd 0.4020 0.0000 0.0000  1 Pd 3.12, 4 Hg 3.16, 4 Mg 3.43
Gd 0.0000 0.4020 0.0000  1 Pd 3.12, 4 Hg 3.16, 4 Mg 3.43
Gd 0.5980 0.5980 0.0000  1 Pd 3.12, 4 Hg 3.16, 4 Mg 3.43
Hg 0.6667 0.3333 0.5000  3 Mg 3.03, 6 Gd 3.16
Hg 0.3333 0.6667 0.5000  3 Mg 3.03, 6 Gd 3.16
Mg 0.7633 0.0000 0.5000  2 Pd 2.78, 2 Hg 3.03
Mg 0.2367 0.2367 0.5000  2 Pd 2.78, 2 Hg 3.03
Mg 0.0000 0.7633 0.5000  2 Pd 2.78, 2 Hg 3.03
Pd 0.0000 0.0000 0.0000  6 Mg 2.78

=====

Record 3
Density functional theory data (PBE) for Hf4CdBiC2 after structural relaxation.

Electronic total energy = -0.312 hartree per atom
Size of the total moment = 0.0 μB per formula unit
SG = P-6m2

Cell: 3.3595 3.3595 14.7535 Å, 90.00 90.00 120.00°
With the nearest neighbours (Å) after each atom.
Atoms (fractional coordinates):
Bi 0.0000 0.0000 0.0000  6 Hf 3.14, 6 Bi 3.36
C 0.6667 0.3333 0.2485  6 Hf 2.28-2.29
C 0.6667 0.3333 0.7515  6 Hf 2.28-2.29
Cd 0.3333 0.6667 0.5000  6 Hf 3.17, 6 Cd 3.36
Hf 0.3333 0.6667 0.1673  3 C 2.28
Hf 0.0000 0.0000 0.3305  3 C 2.29
Hf 0.0000 0.0000 0.6695  3 C 2.29
Hf 0.3333 0.6667 0.8327  3 C 2.28

=====

Record 4
Density functional theory data (PBE) for BiOsW after structural relaxation.

Electronic total energy = -0.319 hartree per atom
Size of the total moment = 0.0 μB per formula unit
SG = F-43m

Cell: 4.4444 4.4444 4.4444 Å, 60.00 60.00 60.00°
With the nearest neighbours (Å) after each atom.
Atoms (fractional coordinates):
Bi 0.2500 0.2500 0.2500  4 Os 2.72
Os 0.0000 0.0000 0.0000  4 W 2.72, 4 Bi 2.72
W 0.7500 0.7500 0.7500  4 Os 2.72

=====

Record 5
Density functional theory data (PBE) for HfCd2Hg2 after structural relaxation.

Electronic total energy = -0.077 hartree per atom
Calculated formation energy = 384 meV per atom
Size of the total moment = 0.0 μB per formula unit
SG = I4/mmm

Cell: 7.0323 7.0323 7.0323 Å, 144.77 144.77 50.68°
With the nearest neighbours (Å) after each atom.
Atoms (fractional coordinates):
Cd 0.3984 0.3984 0.0000  1 Cd 2.58, 4 Hg 2.84
Cd 0.6016 0.6016 0.0000  1 Cd 2.58, 4 Hg 2.84
Hf 0.0000 0.0000 0.0000  8 Cd 3.27
Hg 0.7500 0.2500 0.5000  4 Cd 2.84, 4 Hg 3.01
Hg 0.2500 0.7500 0.5000  4 Cd 2.84, 4 Hg 3.01

=====

Record 6
Density functional theory data (PBE) for ZrGaAgPd after structural relaxation.

Electronic total energy = -0.194 hartree per atom
Size of the total moment = 0.0 μB per formula unit
SG = F-43m

Cell: 4.6199 4.6199 4.6199 Å, 60.00 60.00 60.00°
With the nearest neighbours (Å) after each atom.
Atoms (fractional coordinates):
Ag 0.5000 0.5000 0.5000  4 Pd 2.83, 4 Zr 2.83
Ga 0.0000 0.0000 0.0000  4 Zr 2.83, 4 Pd 2.83
Pd 0.2500 0.2500 0.2500  4 Ag 2.83, 4 Ga 2.83
Zr 0.7500 0.7500 0.7500  4 Ga 2.83, 4 Ag 2.83

=====

Record 7
Density functional theory data (PBE) for ErLuGeC after structural relaxation.

Electronic total energy = -0.230 hartree per atom
Size of the total moment = 0.0 μB per formula unit
SG = P-6m2

Cell: 3.5198 3.5198 14.7180 Å, 90.00 90.00 120.00°
With the nearest neighbours (Å) after each atom.
Atoms (fractional coordinates):
C 0.0000 0.0000 0.2518  3 Lu 2.41, 3 Er 2.44
C 0.0000 0.0000 0.7482  3 Lu 2.41, 3 Er 2.44
Er 0.3333 0.6667 0.1606  3 C 2.44
Er 0.3333 0.6667 0.8394  3 C 2.44
Ge 0.6667 0.3333 0.0000  6 Er 3.12
Ge 0.3333 0.6667 0.5000  6 Lu 3.11
Lu 0.6667 0.3333 0.3402  3 C 2.41
Lu 0.6667 0.3333 0.6598  3 C 2.41

=====

Record 8
Density functional theory data (PBE) for Ta2W after structural relaxation.

Electronic total energy = -0.434 hartree per atom
Calculated formation energy = 402 meV per atom
Size of the total moment = 0.0 μB per formula unit
SG = P6_3/mmc

Cell: 5.3565 5.3565 17.4417 Å, 90.00 90.00 120.00°
With the nearest neighbours (Å) after each atom.
Atoms (fractional coordinates):
Ta 0.5000 0.0000 0.0000  6 Ta 2.66-2.68
Ta 0.0000 0.5000 0.0000  6 Ta 2.66-2.68
Ta 0.5000 0.5000 0.0000  6 Ta 2.66-2.68
Ta 0.3333 0.6667 0.1241  6 Ta 2.66-2.71
Ta 0.1629 0.3259 0.2500  6 Ta 2.62-2.74
Ta 0.1629 0.8371 0.2500  6 Ta 2.62-2.74
Ta 0.6741 0.8371 0.2500  6 Ta 2.62-2.74
Ta 0.3333 0.6667 0.3759  6 Ta 2.66-2.71
Ta 0.5000 0.0000 0.5000  6 Ta 2.66-2.68
Ta 0.0000 0.5000 0.5000  6 Ta 2.66-2.68
Ta 0.5000 0.5000 0.5000  6 Ta 2.66-2.68
Ta 0.6667 0.3333 0.6241  6 Ta 2.66-2.71
Ta 0.3259 0.1629 0.7500  6 Ta 2.62-2.74
Ta 0.8371 0.1629 0.7500  6 Ta 2.62-2.74
Ta 0.8371 0.6741 0.7500  6 Ta 2.62-2.74
Ta 0.6667 0.3333 0.8759  6 Ta 2.66-2.71
W 0.0000 0.0000 0.0947  12 Ta 3.10-3.15, 4 W 3.27-3.30
W 0.6667 0.3333 0.1557  12 Ta 3.13-3.14, 4 W 3.27-3.29
W 0.6667 0.3333 0.3443  12 Ta 3.13-3.14, 4 W 3.27-3.29
W 0.0000 0.0000 0.4053  12 Ta 3.10-3.15, 4 W 3.27-3.30
W 0.0000 0.0000 0.5947  12 Ta 3.10-3.15, 4 W 3.27-3.30
W 0.3333 0.6667 0.6557  12 Ta 3.13-3.14, 4 W 3.27-3.29
W 0.3333 0.6667 0.8443  12 Ta 3.13-3.14, 4 W 3.27-3.29
W 0.0000 0.0000 0.9053  12 Ta 3.10-3.15, 4 W 3.27-3.30

=====

Record 9
Density functional theory data (PBE) for Gd2TmMg3Ir2Pd after structural relaxation.

Electronic total energy = -0.194 hartree per atom
Size of the total moment = 0.0 μB per formula unit
SG = Amm2

Cell: 4.0180 7.3509 7.3509 Å, 119.74 90.00 90.00°
With the nearest neighbours (Å) after each atom.
Atoms (fractional coordinates):
Gd 0.0000 0.9994 0.4165  4 Ir 3.00-3.01, 1 Pd 3.08, 6 Mg 3.18-3.35
Gd 0.0000 0.4165 0.9994  4 Ir 3.00-3.01, 1 Pd 3.08, 6 Mg 3.18-3.35
Ir 0.5000 0.6648 0.3375  3 Mg 2.79-2.86, 2 Tm 2.96, 4 Gd 3.00-3.01
Ir 0.5000 0.3375 0.6648  3 Mg 2.79-2.86, 2 Tm 2.96, 4 Gd 3.00-3.01
Mg 0.5000 0.2497 0.2497  2 Pd 2.74, 2 Ir 2.79
Mg 0.5000 0.9988 0.7509  2 Pd 2.71, 2 Ir 2.80-2.86
Mg 0.5000 0.7509 0.9988  2 Pd 2.71, 2 Ir 2.80-2.86
Pd 0.0000 0.9963 0.9963  6 Mg 2.71-2.74, 1 Tm 3.03
Tm 0.0000 0.5860 0.5860  4 Ir 2.96, 1 Pd 3.03, 2 Mg 3.19

=====

Record 10
Density functional theory data (PBE) for DySnSb after structural relaxation.

Electronic total energy = -0.164 hartree per atom
Size of the total moment = 0.0 μB per formula unit
SG = F-43m

Cell: 5.1578 5.1578 5.1578 Å, 60.00 60.00 60.00°
With the nearest neighbours (Å) after each atom.
Atoms (fractional coordinates):
Dy 0.2500 0.2500 0.2500  4 Sb 3.16
Sb 0.0000 0.0000 0.0000  4 Sn 3.16, 4 Dy 3.16
Sn 0.7500 0.7500 0.7500  4 Sb 3.16

=====

Record 11
Density functional theory data (PBE) for Rb2Fe5 after structural relaxation.

Electronic total energy = -0.209 hartree per atom
Size of the total moment = 13.0 μB per formula unit
SG = R3m

Cell: 11.9234 11.9234 11.9234 Å, 19.56 19.56 19.56°
With the nearest neighbours (Å) after each atom.
Atoms (fractional coordinates):
Fe 0.2913 0.2913 0.2913  6 Fe 2.46-2.48
Fe 0.5818 0.5818 0.5818  4 Fe 2.26-2.44
Fe 0.6462 0.6462 0.6462  7 Fe 2.26-2.46
Fe 0.9345 0.9345 0.9345  7 Fe 2.29-2.48
Fe 0.9997 0.9997 0.9997  4 Fe 2.29-2.44
Rb 0.1803 0.1803 0.1803  3 Fe 3.34
Rb 0.7411 0.7411 0.7411  4 Fe 3.33-3.51

=====

Record 12
Density functional theory data (PBE) for HfGa2Re2 after structural relaxation.

Electronic total energy = -0.296 hartree per atom
Size of the total moment = 0.0 μB per formula unit
SG = I4/mmm

Cell: 6.2282 6.2282 6.2282 Å, 143.86 143.86 52.03°
With the nearest neighbours (Å) after each atom.
Atoms (fractional coordinates):
Ga 0.3972 0.3972 0.0000  1 Ga 2.30, 4 Re 2.54
Ga 0.6028 0.6028 0.0000  1 Ga 2.30, 4 Re 2.54
Hf 0.0000 0.0000 0.0000  8 Ga 2.96
Re 0.7500 0.2500 0.5000  4 Ga 2.54, 4 Re 2.73
Re 0.2500 0.7500 0.5000  4 Ga 2.54, 4 Re 2.73

=====

- Which value of size of the total moment does entry 5 give?
  0.0 μB per formula unit